{"formula": "SiS2N", "functional": "PBE-GGA", "state": "relaxed", "space_group": "R-3m, No. 166", "final_energy_ev_per_atom": -4.155, "dos_ef_per_ev_atom": 0.1969, "e_form_raw_mev_per_atom": 1346, "polymorph_energy_ev_per_fu": 2.59, "lattice": [[1.4755, 0.8519, 7.6000], [-1.4755, 0.8519, 7.6000], [0.0000, -1.7037, 7.6000]], "species": ["Si", "S", "S", "N"], "fractional_positions": [[0.0000, 0.0000, 0.0000], [0.1049, 0.1049, 0.1049], [0.8951, 0.8951, 0.8951], [0.5000, 0.5000, 0.5000]]}